Crystalline Cs5Na4Hg4 at its relaxed geometry. Source: the Alexandria database, functional PBE-GGA.

Cell: 15.1067 15.1067 5.4934 Å, 90.00 90.00 90.00°
Space group I4/m (No. 87)
Unique sites:
Cs  0.0000  0.0000  0.0000 [2 per cell]
Cs  0.1369  0.7948  0.5000 [8 per cell]
Na  0.0651  0.3978  0.5000 [8 per cell]
Hg  0.0475  0.2734  0.0000 [8 per cell]

Results
- Magnetization: 0.00 Bohr magnetons per cell
- Formation energy from the elements: -2.042 eV per formula unit
- E: -12.8 eV per formula unit

---

Crystalline Sr2Sb3AsPt4 at its relaxed geometry. Source: the Alexandria database, functional PBE-GGA.

Cell: 4.7102 4.7102 10.4187 Å, 90.00 90.00 90.00°
Space group P-4m2 (No. 115)
Unique sites:
Sr  0.0000  0.5000  0.2501 [2 per cell]
Sb  0.0000  0.0000  0.0000 [1 per cell]
Sb  0.0000  0.5000  0.6297 [2 per cell]
As  0.5000  0.5000  0.0000 [1 per cell]
Pt  0.0000  0.0000  0.5000 [1 per cell]
Pt  0.0000  0.5000  0.8838 [2 per cell]
Pt  0.5000  0.5000  0.5000 [1 per cell]

Results
- Magnetization: 0.00 Bohr magnetons per cell
- E: -52.4 eV per formula unit

---

> The highest E belongs to which entry?

Cs5Na4Hg4

---

> Look up the E of the second one.

-52.4 eV per formula unit